No. 1
Ba2VH after structural relaxation, computed with PBE.

Cell lengths 8.077, 8.077, 8.077 Å; angles 90.00, 90.00, 90.00 degrees
Positions (direct):
Ba (0.250, 0.250, 0.250)
Ba (0.250, 0.250, 0.750)
Ba (0.250, 0.750, 0.250)
Ba (0.250, 0.750, 0.750)
Ba (0.750, 0.250, 0.250)
Ba (0.750, 0.250, 0.750)
Ba (0.750, 0.750, 0.250)
Ba (0.750, 0.750, 0.750)
V (0.000, 0.000, 0.000)
V (0.000, 0.500, 0.500)
V (0.500, 0.000, 0.500)
V (0.500, 0.500, 0.000)
H (0.000, 0.000, 0.500)
H (0.000, 0.500, 0.000)
H (0.500, 0.000, 0.000)
H (0.500, 0.500, 0.500)

Properties
M_tot = 5.7 μB per formula unit
E above lowest polymorph = 0.219 eV per atom
E = -53.74 eV for the cell shown
Space group = Fm-3m


No. 2
BaV2H after structural relaxation, computed with PBE.

Cell lengths 7.154, 7.154, 7.154 Å; angles 90.00, 90.00, 90.00 degrees
Positions (direct):
Ba (0.000, 0.000, 0.000)
Ba (0.000, 0.500, 0.500)
Ba (0.500, 0.000, 0.500)
Ba (0.500, 0.500, 0.000)
V (0.250, 0.250, 0.250)
V (0.250, 0.250, 0.750)
V (0.250, 0.750, 0.250)
V (0.250, 0.750, 0.750)
V (0.750, 0.250, 0.250)
V (0.750, 0.250, 0.750)
V (0.750, 0.750, 0.250)
V (0.750, 0.750, 0.750)
H (0.000, 0.000, 0.500)
H (0.000, 0.500, 0.000)
H (0.500, 0.000, 0.000)
H (0.500, 0.500, 0.500)

Properties
M_tot = 7.8 μB per formula unit
E above lowest polymorph = 1.134 eV per atom
E = -65.99 eV for the cell shown
Space group = Fm-3m


No. 3
BaV2H after structural relaxation, computed with PBE.

Cell lengths 5.828, 5.828, 8.219 Å; angles 90.00, 90.00, 90.00 degrees
Positions (direct):
Ba (0.000, 0.250, 0.375)
Ba (0.000, 0.750, 0.625)
Ba (0.500, 0.250, 0.125)
Ba (0.500, 0.750, 0.875)
V (0.000, 0.000, 0.000)
V (0.000, 0.500, 0.000)
V (0.250, 0.250, 0.750)
V (0.250, 0.750, 0.250)
V (0.500, 0.000, 0.500)
V (0.500, 0.500, 0.500)
V (0.750, 0.250, 0.750)
V (0.750, 0.750, 0.250)
H (0.000, 0.250, 0.875)
H (0.000, 0.750, 0.125)
H (0.500, 0.250, 0.625)
H (0.500, 0.750, 0.375)

Properties
M_tot = 0.0 μB per formula unit
E above lowest polymorph = 0.000 eV per atom
E = -84.13 eV for the cell shown
Space group = I4_1/amd


No. 4
BaV3H after structural relaxation, computed with PBE.

Cell lengths 4.243, 4.243, 4.243 Å; angles 90.00, 90.00, 90.00 degrees
Positions (direct):
Ba (0.000, 0.000, 0.000)
V (0.000, 0.500, 0.500)
V (0.500, 0.000, 0.500)
V (0.500, 0.500, 0.000)
H (0.500, 0.500, 0.500)

Properties
M_tot = 2.3 μB per formula unit
E above lowest polymorph = 0.000 eV per atom
E = -27.17 eV for the cell shown
Space group = Pm-3m


No. 5
BaVH2 after structural relaxation, computed with PBE.

Cell lengths 5.743, 5.743, 7.988 Å; angles 90.00, 90.00, 90.00 degrees
Positions (direct):
Ba (0.000, 0.000, 0.000)
Ba (0.000, 0.500, 0.250)
Ba (0.500, 0.000, 0.750)
Ba (0.500, 0.500, 0.500)
V (0.000, 0.000, 0.500)
V (0.000, 0.500, 0.750)
V (0.500, 0.000, 0.250)
V (0.500, 0.500, 0.000)
H (0.139, 0.250, 0.625)
H (0.250, 0.639, 0.875)
H (0.250, 0.861, 0.375)
H (0.361, 0.250, 0.125)
H (0.639, 0.750, 0.125)
H (0.750, 0.139, 0.375)
H (0.750, 0.361, 0.875)
H (0.861, 0.750, 0.625)

Properties
M_tot = 4.0 μB per formula unit
E above lowest polymorph = 0.000 eV per atom
E = -68.04 eV for the cell shown
Space group = I-42d


No. 6
BaV2HW after structural relaxation, computed with PBE.

Cell lengths 5.018, 5.018, 3.471 Å; angles 90.00, 90.00, 90.00 degrees
Positions (direct):
Ba (0.000, 0.000, 0.000)
V (0.000, 0.500, 0.000)
V (0.500, 0.000, 0.000)
H (0.000, 0.000, 0.500)
W (0.500, 0.500, 0.500)

Properties
M_tot = 1.7 μB per formula unit
E = -25.50 eV for the cell shown
Space group = P4/mmm


No. 7
BaH3W after structural relaxation, computed with PBE.

Cell lengths 4.541, 4.541, 4.541 Å; angles 90.00, 90.00, 90.00 degrees
Positions (direct):
Ba (0.000, 0.000, 0.000)
H (0.000, 0.000, 0.500)
H (0.000, 0.500, 0.000)
H (0.500, 0.000, 0.000)
W (0.500, 0.500, 0.500)

Properties
M_tot = 0.7 μB per formula unit
E above lowest polymorph = 1.621 eV per atom
E = -15.46 eV for the cell shown
Space group = Pm-3m


No. 8
BaH6W after structural relaxation, computed with PBE.

Cell lengths 9.730, 3.735, 6.429 Å; angles 90.00, 128.84, 90.00 degrees
Positions (direct):
Ba (0.000, 0.000, 0.000)
Ba (0.500, 0.500, 0.000)
H (0.125, 0.500, 0.375)
H (0.168, 0.253, 0.795)
H (0.168, 0.747, 0.795)
H (0.332, 0.247, 0.205)
H (0.332, 0.753, 0.205)
H (0.375, 0.000, 0.625)
H (0.625, 0.000, 0.375)
H (0.668, 0.247, 0.795)
H (0.668, 0.753, 0.795)
H (0.832, 0.253, 0.205)
H (0.832, 0.747, 0.205)
H (0.875, 0.500, 0.625)
W (0.000, 0.500, 0.500)
W (0.500, 0.000, 0.500)

Properties
M_tot = 2.0 μB per formula unit
E = -66.50 eV for the cell shown
Space group = C2/m


No. 9
Ba2HW after structural relaxation, computed with PBE.

Cell lengths 7.797, 7.797, 8.084 Å; angles 90.00, 90.00, 90.00 degrees
Positions (direct):
Ba (0.170, 0.750, 0.125)
Ba (0.250, 0.170, 0.875)
Ba (0.250, 0.330, 0.375)
Ba (0.330, 0.750, 0.625)
Ba (0.670, 0.250, 0.625)
Ba (0.750, 0.670, 0.375)
Ba (0.750, 0.830, 0.875)
Ba (0.830, 0.250, 0.125)
H (0.000, 0.000, 0.000)
H (0.000, 0.500, 0.250)
H (0.500, 0.000, 0.750)
H (0.500, 0.500, 0.500)
W (0.000, 0.000, 0.500)
W (0.000, 0.500, 0.750)
W (0.500, 0.000, 0.250)
W (0.500, 0.500, 0.000)

Properties
M_tot = 3.3 μB per formula unit
E above lowest polymorph = 0.000 eV per atom
E = -63.64 eV for the cell shown
Space group = I-42d


No. 10
BaHW3 after structural relaxation, computed with PBE.

Cell lengths 5.039, 5.039, 5.039 Å; angles 90.00, 90.00, 90.00 degrees
Positions (direct):
Ba (0.000, 0.000, 0.000)
H (0.500, 0.500, 0.500)
W (0.000, 0.000, 0.500)
W (0.000, 0.500, 0.000)
W (0.500, 0.000, 0.000)

Properties
M_tot = 0.5 μB per formula unit
E above lowest polymorph = 2.837 eV per atom
E = -21.56 eV for the cell shown
Space group = Pm-3m


No. 11
Ba2HW after structural relaxation, computed with PBE.

Cell lengths 7.856, 7.856, 7.856 Å; angles 90.00, 90.00, 90.00 degrees
Positions (direct):
Ba (0.250, 0.250, 0.250)
Ba (0.250, 0.250, 0.750)
Ba (0.250, 0.750, 0.250)
Ba (0.250, 0.750, 0.750)
Ba (0.750, 0.250, 0.250)
Ba (0.750, 0.250, 0.750)
Ba (0.750, 0.750, 0.250)
Ba (0.750, 0.750, 0.750)
H (0.000, 0.000, 0.000)
H (0.000, 0.500, 0.500)
H (0.500, 0.000, 0.500)
H (0.500, 0.500, 0.000)
W (0.000, 0.000, 0.500)
W (0.000, 0.500, 0.000)
W (0.500, 0.000, 0.000)
W (0.500, 0.500, 0.500)

Properties
M_tot = 3.1 μB per formula unit
E above lowest polymorph = 0.186 eV per atom
E = -60.67 eV for the cell shown
Space group = Fm-3m


No. 12
BaH3W after structural relaxation, computed with PBE.

Cell lengths 3.995, 3.995, 3.995 Å; angles 90.00, 90.00, 90.00 degrees
Positions (direct):
Ba (0.000, 0.000, 0.000)
H (0.000, 0.500, 0.500)
H (0.500, 0.000, 0.500)
H (0.500, 0.500, 0.000)
W (0.500, 0.500, 0.500)

Properties
M_tot = 0.7 μB per formula unit
E above lowest polymorph = 0.000 eV per atom
E = -23.57 eV for the cell shown
Space group = Pm-3m


No. 13
BaHW3 after structural relaxation, computed with PBE.

Cell lengths 4.364, 4.364, 4.364 Å; angles 90.00, 90.00, 90.00 degrees
Positions (direct):
Ba (0.000, 0.000, 0.000)
H (0.500, 0.500, 0.500)
W (0.000, 0.500, 0.500)
W (0.500, 0.000, 0.500)
W (0.500, 0.500, 0.000)

Properties
M_tot = 0.0 μB per formula unit
E above lowest polymorph = 0.000 eV per atom
E = -35.75 eV for the cell shown
Space group = Pm-3m


No. 14
Ba4Y2H after structural relaxation, computed with PBE.

Cell lengths 5.493, 5.493, 19.848 Å; angles 90.00, 90.00, 90.00 degrees
Positions (direct):
Ba (0.000, 0.000, 0.159)
Ba (0.000, 0.000, 0.841)
Ba (0.000, 0.500, 0.000)
Ba (0.000, 0.500, 0.500)
Ba (0.500, 0.000, 0.000)
Ba (0.500, 0.000, 0.500)
Ba (0.500, 0.500, 0.341)
Ba (0.500, 0.500, 0.659)
Y (0.000, 0.000, 0.349)
Y (0.000, 0.000, 0.651)
Y (0.500, 0.500, 0.151)
Y (0.500, 0.500, 0.849)
H (0.000, 0.000, 0.000)
H (0.500, 0.500, 0.500)

Properties
M_tot = 0.0 μB per formula unit
E = -43.97 eV for the cell shown
Space group = I4/mmm